## Y2CdFe (GGA-PBE)

Data for a relaxed structure of Y2CdFe.

The calculation puts the formation energy at 0.049 eV per atom.

Geometry as POSCAR:
```
Y2CdFe
1.0
-6.0758 -1.5867 -0.1477
-4.8698 -2.9092 2.6974
-3.0026 3.1008 2.7140
Cd Fe Y
1 1 2
Direct
0.5419 0.5419 0.4589
0.2394 0.2394 0.2596
0.9592 0.9592 0.0412
0.7595 0.7595 0.7403
```